Entry from Alexandria: a relaxed structure of Ti2Be2Co5Mo (PBE-GGA).

Its formation energy from the elements is -286 meV/atom. The calculation puts the density of states at the Fermi level at 5.70 states/eV/f.u.

The structure belongs to space group P4/mbm (No. 127); the cell edges are 8.418, 8.418 and 3.231 Å and the angles 90.00°, 90.00° and 90.00°. The inequivalent atoms are Ti at (0.174, 0.326, 0.000), Be at (0.119, 0.619, 0.000), Co at (0.000, 0.500, 0.500), Co at (0.070, 0.788, 0.500) and Mo at (0.000, 0.000, 0.000).